(1)
{
  "formula": "TlSnPdSe2",
  "functional": "PBE",
  "state": "relaxed",
  "cell": [[-3.325, -1.992, -3.373], [-0.819, -3.989, 3.164], [-3.832, 2.576, 2.256]],
  "species": ["Tl", "Se", "Se", "Sn", "Pd"],
  "fractional_positions": [[0.000, 0.500, 0.000], [0.000, 0.000, 0.500], [0.500, 0.000, 0.000], [0.500, 0.500, 0.500], [0.000, 0.000, 0.000]],
  "m_tot_mub_per_fu": 0.0,
  "energy_ev_per_atom": -3.629,
  "n_ef_per_ev_cell": 2.794
}

---

(2)
{
  "formula": "SrPdSe2",
  "functional": "PBE",
  "state": "relaxed",
  "cell": [[4.861, 3.416, 5.449], [7.165, -0.395, 3.674], [7.058, 3.708, 1.197]],
  "species": ["Sr", "Se", "Se", "Pd"],
  "fractional_positions": [[0.500, 0.500, 0.500], [0.896, 0.896, 0.896], [0.104, 0.104, 0.104], [0.000, 0.000, 0.000]],
  "m_tot_mub_per_fu": 1.9,
  "energy_ev_per_atom": -4.013,
  "e_above_lowest_polymorph_ev_per_atom": 0.286,
  "n_ef_per_ev_cell": 2.930
}

---

(3)
{
  "formula": "SrPd3Se4",
  "functional": "PBE",
  "state": "relaxed",
  "cell": [[7.125, 0.000, 0.000], [0.000, 7.125, 0.000], [0.000, 0.000, 7.125]],
  "species": ["Sr", "Sr", "Se", "Se", "Se", "Se", "Se", "Se", "Se", "Se", "Pd", "Pd", "Pd", "Pd", "Pd", "Pd"],
  "fractional_positions": [[0.000, 0.000, 0.000], [0.500, 0.500, 0.500], [0.250, 0.250, 0.250], [0.250, 0.750, 0.250], [0.250, 0.250, 0.750], [0.250, 0.750, 0.750], [0.750, 0.250, 0.250], [0.750, 0.250, 0.750], [0.750, 0.750, 0.250], [0.750, 0.750, 0.750], [0.000, 0.500, 0.250], [0.000, 0.500, 0.750], [0.250, 0.000, 0.500], [0.500, 0.250, 0.000], [0.500, 0.750, 0.000], [0.750, 0.000, 0.500]],
  "m_tot_mub_per_fu": 0.0,
  "energy_ev_per_atom": -4.604,
  "n_ef_per_ev_cell": 5.560
}

---

(4)
{
  "formula": "Sr2Pd2Se",
  "functional": "PBE",
  "state": "relaxed",
  "cell": [[8.203, 0.000, 0.000], [0.000, 8.203, 0.000], [0.000, 0.000, 4.254]],
  "species": ["Sr", "Sr", "Sr", "Sr", "Se", "Se", "Pd", "Pd", "Pd", "Pd"],
  "fractional_positions": [[0.324, 0.824, 0.000], [0.824, 0.676, 0.000], [0.676, 0.176, 0.000], [0.176, 0.324, 0.000], [0.000, 0.000, 0.000], [0.500, 0.500, 0.000], [0.113, 0.613, 0.500], [0.613, 0.887, 0.500], [0.887, 0.387, 0.500], [0.387, 0.113, 0.500]],
  "m_tot_mub_per_fu": 0.0,
  "energy_ev_per_atom": -4.044,
  "e_above_lowest_polymorph_ev_per_atom": 0.366,
  "n_ef_per_ev_cell": 0.598
}

---

(5)
{
  "formula": "Sr2Pd2Se",
  "functional": "PBE",
  "state": "relaxed",
  "cell": [[-2.948, -0.264, 2.521], [-2.391, -0.993, -2.901], [-0.845, -8.771, 1.093]],
  "species": ["Sr", "Sr", "Se", "Pd", "Pd"],
  "fractional_positions": [[0.393, 0.393, 0.214], [0.607, 0.607, 0.786], [0.000, 0.000, 0.000], [0.750, 0.250, 0.500], [0.250, 0.750, 0.500]],
  "m_tot_mub_per_fu": 0.0,
  "energy_ev_per_atom": -4.410,
  "e_above_lowest_polymorph_ev_per_atom": 0.000,
  "n_ef_per_ev_cell": 1.197
}

---

(6)
{
  "formula": "SrPdSe2",
  "functional": "PBE",
  "state": "relaxed",
  "cell": [[-2.509, 4.272, 7.281], [-4.219, 0.702, 7.698], [-0.405, 1.212, 8.713]],
  "species": ["Sr", "Se", "Se", "Pd"],
  "fractional_positions": [[0.000, 0.000, 0.000], [0.882, 0.882, 0.882], [0.118, 0.118, 0.118], [0.500, 0.500, 0.500]],
  "m_tot_mub_per_fu": 0.0,
  "energy_ev_per_atom": -3.847,
  "e_above_lowest_polymorph_ev_per_atom": 0.452,
  "n_ef_per_ev_cell": 3.248
}

---

(7)
{
  "formula": "Sr2Pd2Se",
  "functional": "PBE",
  "state": "relaxed",
  "cell": [[7.737, 0.000, 0.000], [0.000, 7.737, 0.000], [0.000, 0.000, 4.162]],
  "species": ["Sr", "Sr", "Sr", "Sr", "Se", "Se", "Pd", "Pd", "Pd", "Pd"],
  "fractional_positions": [[0.183, 0.683, 0.500], [0.683, 0.817, 0.500], [0.817, 0.317, 0.500], [0.317, 0.183, 0.500], [0.000, 0.000, 0.000], [0.500, 0.500, 0.000], [0.378, 0.878, 0.000], [0.878, 0.622, 0.000], [0.622, 0.122, 0.000], [0.122, 0.378, 0.000]],
  "m_tot_mub_per_fu": 0.0,
  "energy_ev_per_atom": -4.249,
  "e_above_lowest_polymorph_ev_per_atom": 0.161,
  "n_ef_per_ev_cell": 0.048
}

---

(8)
{
  "formula": "SrPdSe3",
  "functional": "PBE",
  "state": "relaxed",
  "cell": [[-1.644, 4.128, 3.796], [-5.603, -1.044, -1.292], [-0.235, -4.003, 4.252]],
  "species": ["Sr", "Se", "Se", "Se", "Pd"],
  "fractional_positions": [[0.000, 0.000, 0.000], [0.000, 0.500, 0.000], [0.000, 0.000, 0.500], [0.500, 0.000, 0.000], [0.500, 0.500, 0.500]],
  "m_tot_mub_per_fu": 4.0,
  "energy_ev_per_atom": -2.916,
  "e_above_lowest_polymorph_ev_per_atom": 1.219,
  "n_ef_per_ev_cell": 5.053
}

---

(9)
{
  "formula": "SrPdSe3",
  "functional": "PBE",
  "state": "relaxed",
  "cell": [[-2.600, 4.262, 0.660], [-3.754, -1.856, -2.798], [-2.125, -1.936, 4.135]],
  "species": ["Sr", "Se", "Se", "Se", "Pd"],
  "fractional_positions": [[0.500, 0.500, 0.500], [0.000, 0.500, 0.000], [0.000, 0.000, 0.500], [0.500, 0.000, 0.000], [0.000, 0.000, 0.000]],
  "m_tot_mub_per_fu": 0.0,
  "energy_ev_per_atom": -4.135,
  "e_above_lowest_polymorph_ev_per_atom": 0.000,
  "n_ef_per_ev_cell": 4.196
}

---

(10)
{
  "formula": "SrPd3Se3",
  "functional": "PBE",
  "state": "relaxed",
  "cell": [[-1.924, 6.631, 1.251], [-0.247, -1.369, 6.878], [6.744, 1.841, 0.609]],
  "species": ["Sr", "Sr", "Se", "Se", "Se", "Se", "Se", "Se", "Pd", "Pd", "Pd", "Pd", "Pd", "Pd"],
  "fractional_positions": [[0.500, 0.500, 0.500], [0.000, 0.000, 0.000], [0.000, 0.250, 0.500], [0.000, 0.750, 0.500], [0.500, 0.000, 0.750], [0.750, 0.500, 0.000], [0.500, 0.000, 0.250], [0.250, 0.500, 0.000], [0.250, 0.000, 0.500], [0.000, 0.500, 0.250], [0.500, 0.750, 0.000], [0.750, 0.000, 0.500], [0.000, 0.500, 0.750], [0.500, 0.250, 0.000]],
  "m_tot_mub_per_fu": 0.0,
  "energy_ev_per_atom": -4.485,
  "n_ef_per_ev_cell": 7.773
}

---

(11)
{
  "formula": "SrPdSe2",
  "functional": "PBE",
  "state": "relaxed",
  "cell": [[0.000, 3.555, 3.555], [3.555, 0.000, 3.555], [3.555, 3.555, 0.000]],
  "species": ["Sr", "Se", "Se", "Pd"],
  "fractional_positions": [[0.000, 0.000, 0.000], [0.250, 0.250, 0.250], [0.750, 0.750, 0.750], [0.500, 0.500, 0.500]],
  "m_tot_mub_per_fu": 0.0,
  "energy_ev_per_atom": -4.128,
  "e_above_lowest_polymorph_ev_per_atom": 0.171,
  "n_ef_per_ev_cell": 4.209
}

---

(12)
{
  "formula": "SrPdSe2",
  "functional": "PBE",
  "state": "relaxed",
  "cell": [[-3.834, 2.852, 3.061], [2.455, -1.828, 4.778], [3.753, 6.482, 3.921]],
  "species": ["Sr", "Sr", "Se", "Se", "Se", "Se", "Pd", "Pd"],
  "fractional_positions": [[0.500, 0.500, 0.000], [0.250, 0.750, 0.500], [0.716, 0.125, 0.250], [0.034, 0.625, 0.250], [0.375, 0.284, 0.750], [0.875, 0.966, 0.750], [0.000, 0.000, 0.000], [0.750, 0.250, 0.500]],
  "m_tot_mub_per_fu": 0.0,
  "energy_ev_per_atom": -4.299,
  "e_above_lowest_polymorph_ev_per_atom": 0.000,
  "n_ef_per_ev_cell": 0.702
}

---

(13)
{
  "formula": "SrPd2Se2",
  "functional": "PBE",
  "state": "relaxed",
  "cell": [[-4.066, -1.598, -2.392], [2.580, -0.196, -4.255], [0.414, -5.186, -2.424]],
  "species": ["Sr", "Se", "Se", "Pd", "Pd"],
  "fractional_positions": [[0.000, 0.000, 0.000], [0.750, 0.250, 0.500], [0.250, 0.750, 0.500], [0.338, 0.338, 0.324], [0.662, 0.662, 0.676]],
  "m_tot_mub_per_fu": 0.0,
  "energy_ev_per_atom": -4.597,
  "e_above_lowest_polymorph_ev_per_atom": 0.000,
  "n_ef_per_ev_cell": 2.141
}

---

(14)
{
  "formula": "SrPd4Se8",
  "functional": "PBE",
  "state": "relaxed",
  "cell": [[6.900, 0.000, 3.146], [2.732, 6.335, 3.146], [0.318, 0.209, 8.440]],
  "species": ["Sr", "Pd", "Pd", "Pd", "Pd", "Se", "Se", "Se", "Se", "Se", "Se", "Se", "Se"],
  "fractional_positions": [[0.500, 0.500, 0.500], [0.000, 0.500, 0.000], [0.500, 0.500, 0.000], [0.500, 0.000, 0.000], [0.000, 0.000, 0.000], [0.722, 0.230, 0.818], [0.770, 0.278, 0.182], [0.278, 0.770, 0.182], [0.770, 0.770, 0.182], [0.728, 0.728, 0.817], [0.272, 0.272, 0.183], [0.230, 0.230, 0.818], [0.230, 0.722, 0.818]],
  "m_tot_mub_per_fu": 0.0,
  "energy_ev_per_atom": -4.320,
  "n_ef_per_ev_cell": 9.075
}

---

(15)
{
  "formula": "SrPd2Se2",
  "functional": "PBE",
  "state": "relaxed",
  "cell": [[4.236, 0.000, 0.000], [0.000, 4.236, 0.000], [2.118, 2.118, 6.028]],
  "species": ["Sr", "Se", "Se", "Pd", "Pd"],
  "fractional_positions": [[0.000, 0.000, 0.000], [0.376, 0.376, 0.249], [0.624, 0.624, 0.751], [0.750, 0.250, 0.500], [0.250, 0.750, 0.500]],
  "m_tot_mub_per_fu": 0.0,
  "energy_ev_per_atom": -4.587,
  "e_above_lowest_polymorph_ev_per_atom": 0.010,
  "n_ef_per_ev_cell": 2.636
}

---

(16)
{
  "formula": "Sr2TePdSe",
  "functional": "PBE",
  "state": "relaxed",
  "cell": [[5.925, 0.000, 0.000], [0.000, 5.925, 0.000], [0.000, 0.000, 4.698]],
  "species": ["Sr", "Sr", "Te", "Se", "Pd"],
  "fractional_positions": [[0.000, 0.500, 0.000], [0.500, 0.000, 0.000], [0.500, 0.500, 0.500], [0.000, 0.000, 0.000], [0.000, 0.000, 0.500]],
  "m_tot_mub_per_fu": 0.0,
  "energy_ev_per_atom": -4.206
}

---

(17)
{
  "formula": "SrUPdSe4",
  "functional": "PBE",
  "state": "relaxed",
  "cell": [[-3.895, -4.996, 3.547], [2.133, -4.112, -3.449], [7.975, 1.055, 3.673]],
  "species": ["Sr", "Sr", "U", "U", "Pd", "Pd", "Se", "Se", "Se", "Se", "Se", "Se", "Se", "Se"],
  "fractional_positions": [[0.743, 0.750, 0.942], [0.257, 0.250, 0.058], [0.723, 0.750, 0.442], [0.277, 0.250, 0.558], [0.234, 0.750, 0.284], [0.766, 0.250, 0.716], [0.041, 0.511, 0.716], [0.959, 0.011, 0.284], [0.959, 0.489, 0.284], [0.041, 0.989, 0.716], [0.451, 0.750, 0.124], [0.549, 0.250, 0.876], [0.428, 0.750, 0.588], [0.572, 0.250, 0.412]],
  "m_tot_mub_per_fu": 1.2,
  "energy_ev_per_atom": -5.677,
  "n_ef_per_ev_cell": 13.481
}

---

(18)
{
  "formula": "SrUPd2Se4",
  "functional": "PBE",
  "state": "relaxed",
  "cell": [[-3.206, 5.781, -2.043], [-2.006, 0.937, -5.918], [-6.288, 0.567, -0.245]],
  "species": ["Sr", "U", "Pd", "Pd", "Se", "Se", "Se", "Se"],
  "fractional_positions": [[0.000, 0.000, 0.000], [0.500, 0.500, 0.500], [0.186, 0.314, 0.314], [0.814, 0.686, 0.686], [0.490, 0.048, 0.519], [0.057, 0.952, 0.481], [0.943, 0.519, 0.048], [0.510, 0.481, 0.952]],
  "m_tot_mub_per_fu": 2.2,
  "energy_ev_per_atom": -5.535,
  "n_ef_per_ev_cell": 7.638
}

---

(19)
{
  "formula": "Sr2UPdSe5",
  "functional": "PBE",
  "state": "relaxed",
  "cell": [[4.118, 0.000, 0.000], [-2.059, 9.071, 0.000], [0.000, 0.000, 12.913]],
  "species": ["Sr", "Sr", "Sr", "Sr", "U", "U", "Pd", "Pd", "Se", "Se", "Se", "Se", "Se", "Se", "Se", "Se", "Se", "Se"],
  "fractional_positions": [[0.889, 0.779, 0.838], [0.118, 0.235, 0.695], [0.111, 0.221, 0.338], [0.882, 0.765, 0.195], [0.804, 0.608, 0.519], [0.196, 0.392, 0.019], [0.569, 0.139, 0.929], [0.431, 0.861, 0.429], [0.349, 0.697, 0.016], [0.705, 0.410, 0.869], [0.500, 0.000, 0.758], [0.300, 0.600, 0.668], [0.955, 0.910, 0.533], [0.651, 0.303, 0.516], [0.295, 0.590, 0.369], [0.500, 0.000, 0.258], [0.700, 0.400, 0.168], [0.045, 0.090, 0.033]],
  "m_tot_mub_per_fu": 1.0,
  "energy_ev_per_atom": -5.479,
  "n_ef_per_ev_cell": 11.346
}

---

(20)
{
  "formula": "TaPd2Se2",
  "functional": "PBE",
  "state": "relaxed",
  "cell": [[-1.679, -1.009, 6.772], [-5.497, -3.957, -1.953], [2.027, -2.854, 0.077]],
  "species": ["Se", "Se", "Se", "Se", "Pd", "Pd", "Pd", "Pd", "Ta", "Ta"],
  "fractional_positions": [[0.334, 0.834, 0.000], [0.834, 0.666, 0.000], [0.666, 0.166, 0.000], [0.166, 0.334, 0.000], [0.145, 0.645, 0.500], [0.645, 0.855, 0.500], [0.855, 0.355, 0.500], [0.355, 0.145, 0.500], [0.000, 0.000, 0.000], [0.500, 0.500, 0.000]],
  "m_tot_mub_per_fu": 0.0,
  "energy_ev_per_atom": -5.952,
  "e_above_lowest_polymorph_ev_per_atom": 0.000,
  "n_ef_per_ev_cell": 10.226
}

---

(21)
{
  "formula": "Ta2PdSe",
  "functional": "PBE",
  "state": "relaxed",
  "cell": [[7.113, 0.000, 0.000], [0.000, 7.113, 0.000], [3.557, 3.557, 2.866]],
  "species": ["Se", "Se", "Pd", "Pd", "Ta", "Ta", "Ta", "Ta"],
  "fractional_positions": [[0.500, 0.500, 0.000], [0.250, 0.750, 0.500], [0.000, 0.000, 0.000], [0.750, 0.250, 0.500], [0.611, 0.125, 0.250], [0.139, 0.625, 0.250], [0.375, 0.389, 0.750], [0.875, 0.861, 0.750]],
  "m_tot_mub_per_fu": 0.0,
  "energy_ev_per_atom": -7.965,
  "n_ef_per_ev_cell": 2.143
}

---

(22)
{
  "formula": "TaPd2Se2",
  "functional": "PBE",
  "state": "relaxed",
  "cell": [[-1.582, -0.740, 3.056], [2.937, -1.569, 1.141], [3.020, 5.241, 4.861]],
  "species": ["Se", "Se", "Pd", "Pd", "Ta"],
  "fractional_positions": [[0.399, 0.399, 0.202], [0.601, 0.601, 0.798], [0.750, 0.250, 0.500], [0.250, 0.750, 0.500], [0.000, 0.000, 0.000]],
  "m_tot_mub_per_fu": 0.5,
  "energy_ev_per_atom": -5.708,
  "e_above_lowest_polymorph_ev_per_atom": 0.244,
  "n_ef_per_ev_cell": 2.749
}

---

(23)
{
  "formula": "Ta2PdSe6",
  "functional": "PBE",
  "state": "relaxed",
  "cell": [[-5.848, 1.291, 3.889], [-4.459, -1.417, 5.395], [0.787, 5.677, 9.489]],
  "species": ["Ta", "Ta", "Pd", "Se", "Se", "Se", "Se", "Se", "Se"],
  "fractional_positions": [[0.322, 0.322, 0.291], [0.678, 0.678, 0.709], [0.000, 0.000, 0.000], [0.791, 0.791, 0.134], [0.209, 0.209, 0.866], [0.333, 0.333, 0.532], [0.985, 0.985, 0.233], [0.015, 0.015, 0.767], [0.667, 0.667, 0.468]],
  "m_tot_mub_per_fu": 0.0,
  "energy_ev_per_atom": -6.229,
  "n_ef_per_ev_cell": 1.147
}

---

no.,uncorrected formation energy (eV per atom)
1,0.08
2,-0.55
3,-0.70
4,-0.60
5,-0.96
6,-0.39
7,-0.80
8,0.55
9,-0.67
10,-0.53
11,-0.67
12,-0.84
13,-0.79
14,-0.45
15,-0.78
16,-1.17
17,-1.09
18,-0.87
19,-1.34
20,-0.11
21,0.13
22,0.13
23,-0.69